DFT (PBE+U) results for Sr2V4Te2H2O17 after structural relaxation.

Summary:
**VASP energy**: -0.490 Ry/atom
**D(E_F)**: 0.000 states/eV/atom

Geometry as POSCAR:
```
Sr2V4Te2H2O17
1.0
5.162 0.000 0.000
2.581 10.707 -0.001
2.581 2.731 14.483
O V Sr H Te
34 8 4 4 4
direct
0.736 0.536 0.678
0.026 0.130 0.591
0.566 0.995 0.573
0.434 0.005 0.427
0.254 0.630 0.091
0.220 0.540 0.565
0.214 0.247 0.977
0.247 0.723 0.907
0.866 0.495 0.073
0.550 0.129 0.719
0.950 0.964 0.822
0.050 0.036 0.178
0.018 0.250 0.750
0.786 0.753 0.023
0.398 0.371 0.781
0.264 0.464 0.322
0.438 0.253 0.523
0.746 0.370 0.909
0.982 0.750 0.250
0.675 0.040 0.065
0.123 0.223 0.407
0.877 0.777 0.593
0.562 0.747 0.477
0.753 0.277 0.093
0.507 0.874 0.760
0.858 0.374 0.260
0.493 0.126 0.240
0.142 0.626 0.740
0.602 0.629 0.219
0.325 0.960 0.935
0.974 0.870 0.409
0.450 0.871 0.281
0.134 0.505 0.927
0.780 0.460 0.435
0.696 0.865 0.489
0.998 0.616 0.641
0.255 0.884 0.859
0.002 0.384 0.359
0.745 0.116 0.141
0.950 0.365 0.989
0.050 0.635 0.011
0.304 0.135 0.511
0.634 0.155 0.883
0.671 0.345 0.617
0.366 0.845 0.117
0.329 0.655 0.383
0.180 0.188 0.730
0.902 0.688 0.230
0.098 0.312 0.770
0.820 0.812 0.270
0.423 0.521 0.814
0.242 0.021 0.314
0.758 0.979 0.686
0.577 0.479 0.186
```